Entry 1:
# PBE Sc3TlP, optimized geometry
# Formation energy from the elements in eV per atom: -0.721
# E above lowest polymorph in meV per atom: 15
data_Sc3TlP
_chemical_formula_sum 'Sc12 Tl4 P4'
_symmetry_space_group_name_H-M 'I m m m'
_symmetry_Int_Tables_number 71
_symmetry_space_group_name_Hall '-I 2 2'
_cell_length_a 3.635
_cell_length_b 9.471
_cell_length_c 12.981
_cell_angle_alpha 90.00
_cell_angle_beta 90.00
_cell_angle_gamma 90.00
loop_
_atom_site_label
_atom_site_fract_x
_atom_site_fract_y
_atom_site_fract_z
_atom_site_occupancy
Sc1 0.000 0.000 0.000 1
Sc2 0.000 0.000 0.500 1
Sc3 0.000 0.287 0.135 1
Tl1 0.000 0.000 0.247 1
P1 0.000 0.285 0.500 1

---

Entry 2:
# PBE Sc2Tl2P, optimized geometry
# Formation energy from the elements in eV per atom: -0.661
# E above lowest polymorph in meV per atom: 0
data_Sc2Tl2P
_chemical_formula_sum 'Sc4 Tl4 P2'
_symmetry_space_group_name_H-M 'C 1 2/m 1'
_symmetry_Int_Tables_number 12
_cell_length_a 6.264
_cell_length_b 3.696
_cell_length_c 10.908
_cell_angle_alpha 90.00
_cell_angle_beta 105.69
_cell_angle_gamma 90.00
loop_
_symmetry_equiv_pos_as_xyz
'x,y,z'
'-x,-y,-z'
'-x,y,-z'
'x,-y,z'
'x+1/2,y+1/2,z'
'-x+1/2,-y+1/2,-z'
'-x+1/2,y+1/2,-z'
'x+1/2,-y+1/2,z'
loop_
_atom_site_label
_atom_site_fract_x
_atom_site_fract_y
_atom_site_fract_z
_atom_site_occupancy
Sc1 0.228 0.000 0.136 1
Tl1 0.003 0.000 0.636 1
P1 0.000 0.500 0.000 1

---

Entry 3:
# PBE ScTlP, optimized geometry
# Formation energy from the elements in eV per atom: -0.593
# E above lowest polymorph in meV per atom: 219
data_ScTlP
_chemical_formula_sum 'Sc1 Tl1 P1'
_symmetry_space_group_name_H-M 'P 1 m 1'
_symmetry_Int_Tables_number 6
_cell_length_a 3.643
_cell_length_b 3.590
_cell_length_c 5.542
_cell_angle_alpha 90.00
_cell_angle_beta 90.13
_cell_angle_gamma 90.00
loop_
_symmetry_equiv_pos_as_xyz
'x,y,z'
'x,-y,z'
loop_
_atom_site_label
_atom_site_fract_x
_atom_site_fract_y
_atom_site_fract_z
_atom_site_occupancy
Sc1 0.000 0.000 0.000 1
Tl1 0.003 0.500 0.524 1
P1 0.500 0.500 0.092 1

---

Question: Which of these has the highest E above lowest polymorph?
Answer: ScTlP